No. 1
Entry from Alexandria: a relaxed Ba2AgSnH crystal (PBE-GGA).

The structure in CIF format:
```
data_Ba2AgSnH
_chemical_formula_sum 'Ba2 Ag1 Sn1 H1'
_cell_length_a 5.9986
_cell_length_b 5.9986
_cell_length_c 4.0858
_cell_angle_alpha 90.00
_cell_angle_beta 90.00
_cell_angle_gamma 90.00
_space_group_name_H-M_alt 'P 4/m m m'
_space_group_IT_number 123
_space_group_name_Hall '-P 4 2'
loop_
_atom_site_label
_atom_site_type_symbol
_atom_site_fract_x
_atom_site_fract_y
_atom_site_fract_z
Ba1 Ba 0.0000 0.5000 0.0000
Ag1 Ag 0.0000 0.0000 0.5000
Sn1 Sn 0.5000 0.5000 0.5000
H1 H 0.0000 0.0000 0.0000
```

=====

No. 2
# PBE-GGA Pd5WAu4, relaxed
data_Pd5WAu4
_chemical_formula_sum 'Pd5 W1 Au4'
_cell_length_a 2.8390
_cell_length_b 2.8390
_cell_length_c 20.3422
_cell_angle_alpha 90.00
_cell_angle_beta 90.00
_cell_angle_gamma 90.00
_space_group_name_H-M_alt 'P 4/m m m'
_space_group_IT_number 123
_space_group_name_Hall '-P 4 2'
loop_
_atom_site_label
_atom_site_type_symbol
_atom_site_fract_x
_atom_site_fract_y
_atom_site_fract_z
Pd1 Pd 0.0000 0.0000 0.0000
Pd2 Pd 0.0000 0.0000 0.2024
Pd3 Pd 0.0000 0.0000 0.4081
W1 W 0.5000 0.5000 0.5000
Au1 Au 0.5000 0.5000 0.1011
Au2 Au 0.5000 0.5000 0.3030
# calculated formation energy	-0.073	eV/atom

=====

No. 3
# PBE-GGA Pm2Ga2Au3, relaxed
data_Pm2Ga2Au3
_chemical_formula_sum 'Pm8 Ga8 Au12'
_cell_length_a 4.2518
_cell_length_b 20.0274
_cell_length_c 7.2910
_cell_angle_alpha 90.00
_cell_angle_beta 90.00
_cell_angle_gamma 90.00
_space_group_name_H-M_alt 'C m c m'
_space_group_IT_number 63
_space_group_name_Hall '-C 2c 2'
loop_
_atom_site_label
_atom_site_type_symbol
_atom_site_fract_x
_atom_site_fract_y
_atom_site_fract_z
Pm1 Pm 0.0000 0.0566 0.2500
Pm2 Pm 0.0000 0.1564 0.7500
Ga1 Ga 0.0000 0.3096 0.5552
Au1 Au 0.0000 0.2229 0.2500
Au2 Au 0.0000 0.4354 0.0562
# energy above the lowest structure with this stoichiometry	0.00	eV/f.u.
# calculated formation energy	-0.690	eV/atom

=====

No. 4
# PBE-GGA Ti3PdC, relaxed
data_Ti3PdC
_chemical_formula_sum 'Ti12 Pd4 C4'
_cell_length_a 3.0659
_cell_length_b 11.2173
_cell_length_c 8.3412
_cell_angle_alpha 90.00
_cell_angle_beta 90.00
_cell_angle_gamma 90.00
_space_group_name_H-M_alt 'C m c m'
_space_group_IT_number 63
_space_group_name_Hall '-C 2c 2'
loop_
_atom_site_label
_atom_site_type_symbol
_atom_site_fract_x
_atom_site_fract_y
_atom_site_fract_z
Ti1 Ti 0.0000 0.0478 0.2500
Ti2 Ti 0.0000 0.3776 0.0544
Pd1 Pd 0.0000 0.2536 0.7500
C1 C 0.0000 0.0000 0.0000
# energy above the lowest structure with this stoichiometry	0.00	eV/f.u.
# calculated formation energy	-0.616	eV/atom

=====

No. 5
# PBE-GGA TaSiSb, relaxed
data_TaSiSb
_chemical_formula_sum 'Ta4 Si4 Sb4'
_cell_length_a 3.7685
_cell_length_b 4.7047
_cell_length_c 13.7919
_cell_angle_alpha 90.00
_cell_angle_beta 90.00
_cell_angle_gamma 90.00
_space_group_name_H-M_alt 'F m m 2'
_space_group_IT_number 42
_space_group_name_Hall 'F 2 -2'
loop_
_atom_site_label
_atom_site_type_symbol
_atom_site_fract_x
_atom_site_fract_y
_atom_site_fract_z
Ta1 Ta 0.0000 0.0000 0.0000
Si1 Si 0.0000 0.0000 0.3673
Sb1 Sb 0.0000 0.0000 0.6615
# formation energy from raw total energies	0.238	eV/atom

=====

No. 6
# PBE-GGA Sm4ZnGa, relaxed
data_Sm4ZnGa
_chemical_formula_sum 'Sm16 Zn4 Ga4'
_cell_length_a 5.2563
_cell_length_b 21.9277
_cell_length_c 6.3614
_cell_angle_alpha 90.00
_cell_angle_beta 90.00
_cell_angle_gamma 90.00
_space_group_name_H-M_alt 'C m c 21'
_space_group_IT_number 36
_space_group_name_Hall 'C 2c -2'
loop_
_atom_site_label
_atom_site_type_symbol
_atom_site_fract_x
_atom_site_fract_y
_atom_site_fract_z
Sm1 Sm 0.0000 0.0605 0.0000
Sm2 Sm 0.0000 0.1899 0.2759
Sm3 Sm 0.0000 0.2147 0.7916
Sm4 Sm 0.0000 0.3842 0.0534
Zn1 Zn 0.0000 0.0714 0.5077
Ga1 Ga 0.0000 0.3398 0.5331
# energy above the lowest structure with this stoichiometry	0.12	eV/f.u.
# calculated formation energy	-0.080	eV/atom

=====

No. 7
# PBE-GGA TlC3, relaxed
data_TlC3
_chemical_formula_sum 'Tl3 C9'
_cell_length_a 2.8516
_cell_length_b 2.8516
_cell_length_c 20.2566
_cell_angle_alpha 90.00
_cell_angle_beta 90.00
_cell_angle_gamma 120.00
_space_group_name_H-M_alt 'R -3 m'
_space_group_IT_number 166
_space_group_name_Hall '-R 3 2"'
loop_
_atom_site_label
_atom_site_type_symbol
_atom_site_fract_x
_atom_site_fract_y
_atom_site_fract_z
Tl1 Tl 0.0000 0.0000 0.0000
C1 C 0.0000 0.0000 0.2032
C2 C 0.0000 0.0000 0.5000
# energy above the lowest structure with this stoichiometry	7.22	eV/f.u.
# calculated formation energy	2.586	eV/atom

=====

No. 8
# PBE-GGA Tb12Ho2Th5, relaxed
data_Tb12Ho2Th5
_chemical_formula_sum 'Tb24 Ho4 Th10'
_cell_length_a 18.6685
_cell_length_b 7.0292
_cell_length_c 10.2726
_cell_angle_alpha 90.00
_cell_angle_beta 112.89
_cell_angle_gamma 90.00
_space_group_name_H-M_alt 'C 1 2/m 1'
_space_group_IT_number 12
_space_group_name_Hall '-C 2y'
loop_
_atom_site_label
_atom_site_type_symbol
_atom_site_fract_x
_atom_site_fract_y
_atom_site_fract_z
Tb1 Tb 0.0047 0.0000 0.3243
Tb2 Tb 0.0308 0.5000 0.2415
Tb3 Tb 0.1573 0.2535 0.8639
Tb4 Tb 0.1681 0.2501 0.5215
Ho1 Ho 0.0000 0.2185 0.0000
Th1 Th 0.0000 0.5000 0.5000
Th2 Th 0.1766 0.0000 0.2087
Th3 Th 0.1852 0.5000 0.1771
# calculated formation energy	0.215	eV/atom

=====

No. 9
# PBE-GGA Al2InNiI, relaxed
data_Al2InNiI
_chemical_formula_sum 'Al2 In1 Ni1 I1'
_cell_length_a 4.6405
_cell_length_b 4.6405
_cell_length_c 5.7858
_cell_angle_alpha 90.00
_cell_angle_beta 90.00
_cell_angle_gamma 90.00
_space_group_name_H-M_alt 'P 4/m m m'
_space_group_IT_number 123
_space_group_name_Hall '-P 4 2'
loop_
_atom_site_label
_atom_site_type_symbol
_atom_site_fract_x
_atom_site_fract_y
_atom_site_fract_z
Al1 Al 0.0000 0.5000 0.0000
In1 In 0.0000 0.0000 0.5000
Ni1 Ni 0.5000 0.5000 0.0000
I1 I 0.5000 0.5000 0.5000
# formation energy from raw total energies	0.163	eV/atom

=====

No. 10
# PBE-GGA Na2PdS, relaxed
data_Na2PdS
_chemical_formula_sum 'Na8 Pd4 S4'
_cell_length_a 4.1575
_cell_length_b 4.1575
_cell_length_c 18.6366
_cell_angle_alpha 90.00
_cell_angle_beta 90.00
_cell_angle_gamma 90.00
_space_group_name_H-M_alt 'I -4 2 d'
_space_group_IT_number 122
_space_group_name_Hall 'I -4 2bw'
loop_
_atom_site_label
_atom_site_type_symbol
_atom_site_fract_x
_atom_site_fract_y
_atom_site_fract_z
Na1 Na 0.2337 0.2500 0.1250
Pd1 Pd 0.0000 0.0000 0.5000
S1 S 0.0000 0.0000 0.0000
# formation energy from raw total energies	-0.150	eV/atom

=====

No. 11
# PBE-GGA ZrBePd, relaxed
data_ZrBePd
_chemical_formula_sum 'Zr1 Be1 Pd1'
_cell_length_a 4.1670
_cell_length_b 4.1670
_cell_length_c 3.1515
_cell_angle_alpha 90.00
_cell_angle_beta 90.00
_cell_angle_gamma 120.00
_space_group_name_H-M_alt 'P -6 m 2'
_space_group_IT_number 187
_space_group_name_Hall 'P -6 2'
loop_
_atom_site_label
_atom_site_type_symbol
_atom_site_fract_x
_atom_site_fract_y
_atom_site_fract_z
Zr1 Zr 0.0000 0.0000 0.0000
Be1 Be 0.6667 0.3333 0.5000
Pd1 Pd 0.3333 0.6667 0.5000
# energy above the lowest structure with this stoichiometry	0.37	eV/f.u.
# calculated formation energy	-0.418	eV/atom

=====

No. 12
# PBE-GGA MgS2N, relaxed
data_MgS2N
_chemical_formula_sum 'Mg4 S8 N4'
_cell_length_a 6.2636
_cell_length_b 6.2636
_cell_length_c 6.2636
_cell_angle_alpha 90.00
_cell_angle_beta 90.00
_cell_angle_gamma 90.00
_space_group_name_H-M_alt 'F m -3 m'
_space_group_IT_number 225
_space_group_name_Hall '-F 4 2 3'
loop_
_atom_site_label
_atom_site_type_symbol
_atom_site_fract_x
_atom_site_fract_y
_atom_site_fract_z
Mg1 Mg 0.0000 0.0000 0.0000
S1 S 0.2500 0.2500 0.2500
N1 N 0.0000 0.0000 0.5000
# energy above the lowest structure with this stoichiometry	3.88	eV/f.u.
# formation energy from raw total energies	1.067	eV/atom

=====

No. 13
# PBE-GGA RbGeBi, relaxed
data_RbGeBi
_chemical_formula_sum 'Rb1 Ge1 Bi1'
_cell_length_a 5.5773
_cell_length_b 5.5773
_cell_length_c 3.5617
_cell_angle_alpha 90.00
_cell_angle_beta 90.00
_cell_angle_gamma 120.00
_space_group_name_H-M_alt 'P -6 m 2'
_space_group_IT_number 187
_space_group_name_Hall 'P -6 2'
loop_
_atom_site_label
_atom_site_type_symbol
_atom_site_fract_x
_atom_site_fract_y
_atom_site_fract_z
Rb1 Rb 0.0000 0.0000 0.0000
Ge1 Ge 0.6667 0.3333 0.5000
Bi1 Bi 0.3333 0.6667 0.5000
# calculated formation energy	0.041	eV/atom

=====

Number 1: calculated volume 29.4 Å³/atom, E_tot -15.95 eV/f.u.. Number 2: calculated volume 16.4 Å³/atom, E_tot -52.76 eV/f.u.. Number 3: calculated volume 22.2 Å³/atom, E_tot -30.22 eV/f.u.. Number 4: calculated volume 14.3 Å³/atom, E_tot -41.18 eV/f.u.. Number 5: calculated volume 20.4 Å³/atom, E_tot -20.68 eV/f.u.. Number 6: calculated volume 30.6 Å³/atom, E_tot -23.66 eV/f.u.. Number 7: calculated volume 11.9 Å³/atom, E_tot -19.69 eV/f.u.. Number 8: calculated volume 32.7 Å³/atom, E_tot -97.73 eV/f.u.. Number 9: calculated volume 24.9 Å³/atom, E_tot -16.74 eV/f.u.. Number 10: calculated volume 20.1 Å³/atom, E_tot -12.56 eV/f.u.. Number 11: calculated volume 15.8 Å³/atom, E_tot -18.72 eV/f.u.. Number 12: calculated volume 15.4 Å³/atom, E_tot -13.91 eV/f.u.. Number 13: calculated volume 32.0 Å³/atom, E_tot -9.34 eV/f.u..